Material: Li3GaNi4
Method: DFT, GGA-PBE
State: optimized geometry

* total magnetic moment: 0.0 μB/f.u.
* crystal system: orthorhombic
* energy of formation from the pure elements: -0.122 eV per atom
* E_tot: -4.108 eV/atom

Unit cell a=5.0392 b=7.2622 c=5.0704 alpha=90.00 beta=90.00 gamma=90.00
Last column: nearest neighbours and their distance in Å.
Space group Pmna (No. 53)
One atom of each set of equivalent atoms:
1 Li 0.0000 0.0000 0.0000  4 Li 2.50, 8 Ni 2.52-2.55
2 Li 0.2500 0.2411 0.2500  4 Li 2.50-2.52, 6 Ni 2.50-2.59, 2 Ga 2.59
3 Ga 0.0000 0.5000 0.0000  8 Ni 2.52-2.55, 4 Li 2.59
4 Ni 0.0000 0.0000 0.5000  8 Li 2.50-2.54, 4 Ni 2.55
5 Ni 0.0000 0.5000 0.5000  4 Ga 2.52-2.54, 4 Ni 2.55, 4 Li 2.59
6 Ni 0.2500 0.2497 0.7500  6 Ni 2.52-2.55, 4 Li 2.54-2.55, 2 Ga 2.55

***

Material: Li23Ga6Ni
Method: DFT, GGA-PBE
State: optimized geometry

* total magnetic moment: 0.0 μB/f.u.
* crystal system: cubic
* energy of formation from the pure elements: -0.120 eV per atom
* E_tot: -2.385 eV/atom

Unit cell a=12.6453 b=12.6453 c=12.6453 alpha=90.00 beta=90.00 gamma=90.00
Last column: nearest neighbours and their distance in Å.
Space group Fm-3m (No. 225)
One atom of each set of equivalent atoms:
1 Li 0.0000 0.0000 0.0000  8 Li 2.75
2 Li 0.0000 0.2500 0.2500  8 Li 2.73-2.80
3 Li 0.1167 0.1167 0.3833  1 Ni 2.56, 3 Ga 2.67, 3 Li 2.80
4 Li 0.1257 0.1257 0.1257  4 Li 2.73-2.75, 3 Ga 2.75
5 Ga 0.0000 0.0000 0.2511  8 Li 2.67-2.75
6 Ni 0.0000 0.0000 0.5000  8 Li 2.56

***

Material: Li5Ga6Ni
Method: DFT, GGA-PBE
State: optimized geometry

* total magnetic moment: 0.0 μB/f.u.
* crystal system: monoclinic
* energy of formation from the pure elements: -0.273 eV per atom
* E_tot: -3.066 eV/atom

Unit cell a=3.9042 b=7.8306 c=6.1508 alpha=90.00 beta=108.28 gamma=90.00
Last column: nearest neighbours and their distance in Å.
Space group P2/m (No. 10)
One atom of each set of equivalent atoms:
1 Li 0.0000 0.0000 0.0000  4 Li 2.75-2.76, 8 Ga 2.82-2.89
2 Li 0.3341 0.0000 0.6680  4 Li 2.75-2.77, 8 Ga 2.84-2.88
3 Li 0.3362 0.5000 0.6726  8 Ga 2.61-2.73, 2 Ni 2.73-2.74, 2 Li 2.80-2.81
4 Ga 0.1652 0.2631 0.3289  1 Ni 2.67, 7 Li 2.69-2.86, 4 Ga 2.73-2.80
5 Ga 0.5000 0.2727 0.0000  6 Li 2.61-2.89, 2 Ni 2.64, 4 Ga 2.73-2.75
6 Ni 0.0000 0.5000 0.0000  8 Ga 2.64-2.67, 4 Li 2.73-2.74

***

Material: LiGa3Ni6
Method: DFT, GGA-PBE
State: optimized geometry

* total magnetic moment: 0.0 μB/f.u.
* crystal system: monoclinic
* energy of formation from the pure elements: -0.284 eV per atom
* E_tot: -4.852 eV/atom

Unit cell a=6.8188 b=4.1550 c=8.9871 alpha=90.00 beta=111.99 gamma=90.00
Last column: nearest neighbours and their distance in Å.
Space group P2_1/m (No. 11)
One atom of each set of equivalent atoms:
1 Li 0.1184 0.2500 0.0749  8 Ni 2.47-2.58, 2 Ga 2.59-2.64, 2 Li 2.67
2 Ga 0.0745 0.7500 0.7252  8 Ni 2.43-2.62, 1 Li 2.59, 2 Ga 2.72
3 Ga 0.3003 0.7500 0.5207  11 Ni 2.47-2.65
4 Ga 0.3254 0.2500 0.8791  9 Ni 2.45-2.59, 1 Li 2.64, 2 Ga 2.72
5 Ni 0.0835 0.7500 0.2244  4 Ga 2.46-2.59, 5 Ni 2.51-2.67, 3 Li 2.52-2.53
6 Ni 0.1124 0.2500 0.5732  7 Ga 2.50-2.62, 5 Ni 2.58-2.64
7 Ni 0.2880 0.7500 0.0219  4 Ga 2.45-2.51, 5 Ni 2.50-2.67, 3 Li 2.51-2.58
8 Ni 0.3089 0.2500 0.3696  4 Ga 2.43-2.49, 1 Li 2.47, 7 Ni 2.50-2.64
9 Ni 0.4798 0.7500 0.3195  8 Ni 2.48-2.62, 4 Ga 2.53-2.65
10 Ni 0.4883 0.7500 0.8206  6 Ni 2.48-2.65, 1 Li 2.49, 5 Ga 2.50-2.62

***

Material: LiGa2Ni8
Method: DFT, GGA-PBE
State: optimized geometry

* total magnetic moment: 1.5 μB/f.u.
* crystal system: tetragonal
* E above lowest polymorph: 0.0000 eV/atom
* energy of formation from the pure elements: -0.052 eV per atom
* E_tot: -4.981 eV/atom

Unit cell a=3.6740 b=3.6740 c=9.4697 alpha=90.00 beta=90.00 gamma=90.00
Last column: nearest neighbours and their distance in Å.
Space group P4/mmm (No. 123)
One atom of each set of equivalent atoms:
1 Li 0.0000 0.0000 0.0000  8 Ni 2.28
2 Ga 0.0000 0.0000 0.3201  12 Ni 2.49-2.60
3 Ni 0.0000 0.5000 0.1419  2 Li 2.28, 2 Ni 2.47, 2 Ga 2.49
4 Ni 0.0000 0.5000 0.5000  4 Ga 2.51, 8 Ni 2.53-2.60
5 Ni 0.5000 0.5000 0.3169  8 Ni 2.47-2.53, 4 Ga 2.60

***

Material: Li2GaNi6
Method: DFT, GGA-PBE
State: optimized geometry

* total magnetic moment: 1.0 μB/f.u.
* crystal system: tetragonal
* energy of formation from the pure elements: -0.113 eV per atom
* E_tot: -4.728 eV/atom

Unit cell a=7.4816 b=7.4816 c=3.5966 alpha=90.00 beta=90.00 gamma=90.00
Last column: nearest neighbours and their distance in Å.
Space group P4_2/mnm (No. 136)
One atom of each set of equivalent atoms:
1 Li 0.1775 0.1775 0.0000  10 Ni 2.46-2.53, 2 Ga 2.60
2 Ga 0.0000 0.0000 0.5000  8 Ni 2.47-2.52, 4 Li 2.60
3 Ni 0.0065 0.3371 0.5000  8 Ni 2.44-2.56, 3 Li 2.46-2.51, 1 Ga 2.52
4 Ni 0.1606 0.8394 0.0000  2 Ga 2.47, 4 Li 2.48-2.53, 6 Ni 2.49-2.56

***

Material: LiGa4Ni
Method: DFT, GGA-PBE
State: optimized geometry

* total magnetic moment: 0.0 μB/f.u.
* crystal system: monoclinic
* energy of formation from the pure elements: -0.197 eV per atom
* E_tot: -3.497 eV/atom

Unit cell a=7.7084 b=10.8761 c=4.9802 alpha=90.00 beta=114.25 gamma=90.00
Last column: nearest neighbours and their distance in Å.
Space group C2/c (No. 15)
One atom of each set of equivalent atoms:
1 Li 0.0000 0.1028 0.2500  8 Ga 2.68-2.86
2 Ga 0.1155 0.3154 0.5576  2 Ni 2.50, 2 Ga 2.69-2.76, 1 Li 2.71
3 Ga 0.2108 0.1017 0.8557  2 Ni 2.52-2.75, 2 Li 2.68-2.78, 2 Ga 2.69-2.82
4 Ni 0.0000 0.4952 0.7500  2 Ni 2.49, 8 Ga 2.50-2.75

***

Material: Li3GaNi
Method: DFT, GGA-PBE
State: optimized geometry

* total magnetic moment: 0.0 μB/f.u.
* crystal system: triclinic
* E above lowest polymorph: 0.0368 eV/atom
* energy of formation from the pure elements: -0.178 eV per atom
* E_tot: -3.088 eV/atom

Unit cell a=5.0162 b=5.1803 c=6.4186 alpha=69.85 beta=72.54 gamma=85.89
Last column: nearest neighbours and their distance in Å.
Space group P-1 (No. 2)
One atom of each set of equivalent atoms:
1 Li 0.1234 0.2899 0.3817  2 Ni 2.54-2.56, 2 Ga 2.68-2.69, 2 Li 2.79-2.82
2 Li 0.1991 0.9353 0.1274  7 Li 2.70-3.01, 2 Ga 2.84-2.92, 3 Ni 2.84-2.97
3 Li 0.3735 0.3348 0.7075  2 Ni 2.56, 2 Ga 2.59-2.60, 4 Li 2.60-2.82
4 Ga 0.3379 0.8401 0.6982  2 Ni 2.42-2.43, 4 Li 2.59-2.69, 1 Ga 2.62
5 Ni 0.0000 0.5000 0.0000  2 Ga 2.42, 2 Ni 2.51, 4 Li 2.56
6 Ni 0.5000 0.5000 0.0000  2 Ga 2.43, 2 Ni 2.51, 4 Li 2.54-2.56